A plane-wave DFT calculation with PBEsol was carried out for Tc3HIr after structural relaxation.

Summary:
DOS(E_F) in states/eV/cell: 4.070
Crystal system: cubic
Volume in Å³ per cell: 58
Uncorrected energy in eV/atom: -9.48
Mass density in Mg/m³: 14.018

Geometry as POSCAR:
```
Tc3HIr
1.0
3.8645 0.0000 0.0000
0.0000 3.8645 0.0000
0.0000 0.0000 3.8645
Tc H Ir
3 1 1
Direct
0.0000 0.0000 0.5000
0.0000 0.5000 0.0000
0.5000 0.0000 0.0000
0.0000 0.0000 0.0000
0.5000 0.5000 0.5000
```

A plane-wave DFT calculation with PBEsol was carried out for TcTeHIr2 after structural relaxation.

Summary:
DOS(E_F) in states/eV/cell: 1.850
Crystal system: tetragonal
Volume in Å³ per cell: 65
Uncorrected energy in eV/atom: -7.06
Mass density in Mg/m³: 15.532

Geometry as POSCAR:
```
TcTeHIr2
1.0
3.8716 0.0000 0.0000
0.0000 3.8716 0.0000
0.0000 0.0000 4.3582
Tc Te H Ir
1 1 1 2
Direct
0.0000 0.0000 0.0000
0.5000 0.5000 0.0000
0.5000 0.5000 0.5000
0.0000 0.5000 0.5000
0.5000 0.0000 0.5000
```

A plane-wave DFT calculation with PBEsol was carried out for Ti2H2Ir after structural relaxation.

Summary:
DOS(E_F) in states/eV/cell: 2.672
Crystal system: tetragonal
Volume in Å³ per cell: 50
Uncorrected energy in eV/atom: -7.29
Mass density in Mg/m³: 9.689

Geometry as POSCAR:
```
Ti2H2Ir
1.0
-1.4532 1.4532 5.8832
1.4532 -1.4532 5.8832
1.4532 1.4532 -5.8832
Ti H Ir
2 2 1
Direct
0.1440 0.1440 0.0000
0.8560 0.8560 0.0000
0.2500 0.7500 0.5000
0.7500 0.2500 0.5000
0.5000 0.5000 0.0000
```

A plane-wave DFT calculation with PBEsol was carried out for TlHIr2 after structural relaxation.

Summary:
DOS(E_F) in states/eV/cell: 4.664
Crystal system: cubic
Volume in Å³ per cell: 57
Uncorrected energy in eV/atom: -5.25
Mass density in Mg/m³: 17.073

Geometry as POSCAR:
```
TlHIr2
1.0
0.0000 3.0611 3.0611
3.0611 0.0000 3.0611
3.0611 3.0611 0.0000
Tl H Ir
1 1 2
Direct
0.0000 0.0000 0.0000
0.5000 0.5000 0.5000
0.2500 0.2500 0.2500
0.7500 0.7500 0.7500
```

A plane-wave DFT calculation with PBEsol was carried out for HIrW2 after structural relaxation.

Summary:
DOS(E_F) in states/eV/cell: 3.323
Crystal system: cubic
Volume in Å³ per cell: 54
Uncorrected energy in eV/atom: -9.47
Mass density in Mg/m³: 17.348

Geometry as POSCAR:
```
HIrW2
1.0
0.0000 2.9942 2.9942
2.9942 0.0000 2.9942
2.9942 2.9942 0.0000
H Ir W
1 1 2
Direct
0.0000 0.0000 0.0000
0.5000 0.5000 0.5000
0.2500 0.2500 0.2500
0.7500 0.7500 0.7500
```

A plane-wave DFT calculation with PBEsol was carried out for H3IrW after structural relaxation.

Summary:
DOS(E_F) in states/eV/cell: 1.507
Crystal system: cubic
Volume in Å³ per cell: 40
Uncorrected energy in eV/atom: -6.21
Mass density in Mg/m³: 15.929

Geometry as POSCAR:
```
H3IrW
1.0
3.4062 0.0000 0.0000
0.0000 3.4062 0.0000
0.0000 0.0000 3.4062
H Ir W
3 1 1
Direct
0.0000 0.0000 0.5000
0.0000 0.5000 0.0000
0.5000 0.0000 0.0000
0.0000 0.0000 0.0000
0.5000 0.5000 0.5000
```

A plane-wave DFT calculation with PBEsol was carried out for YH2Ir after structural relaxation.

Summary:
DOS(E_F) in states/eV/cell: 1.245
Crystal system: cubic
Volume in Å³ per cell: 45
Uncorrected energy in eV/atom: -5.89
Mass density in Mg/m³: 10.404

Geometry as POSCAR:
```
YH2Ir
1.0
0.0000 2.8271 2.8271
2.8271 0.0000 2.8271
2.8271 2.8271 0.0000
Y H Ir
1 2 1
Direct
0.0000 0.0000 0.0000
0.2500 0.2500 0.2500
0.7500 0.7500 0.7500
0.5000 0.5000 0.5000
```

A plane-wave DFT calculation with PBEsol was carried out for Y3HIr after structural relaxation.

Summary:
DOS(E_F) in states/eV/cell: 5.506
Crystal system: cubic
Volume in Å³ per cell: 96
Uncorrected energy in eV/atom: -6.98
Mass density in Mg/m³: 7.974

Geometry as POSCAR:
```
Y3HIr
1.0
4.5753 0.0000 0.0000
0.0000 4.5753 0.0000
0.0000 0.0000 4.5753
Y H Ir
3 1 1
Direct
0.0000 0.0000 0.5000
0.0000 0.5000 0.0000
0.5000 0.0000 0.0000
0.0000 0.0000 0.0000
0.5000 0.5000 0.5000
```

Copy entry 5 word for word.
A plane-wave DFT calculation with PBEsol was carried out for HIrW2 after structural relaxation.

Summary:
DOS(E_F) in states/eV/cell: 3.323
Crystal system: cubic
Volume in Å³ per cell: 54
Uncorrected energy in eV/atom: -9.47
Mass density in Mg/m³: 17.348

Geometry as POSCAR:
```
HIrW2
1.0
0.0000 2.9942 2.9942
2.9942 0.0000 2.9942
2.9942 2.9942 0.0000
H Ir W
1 1 2
Direct
0.0000 0.0000 0.0000
0.5000 0.5000 0.5000
0.2500 0.2500 0.2500
0.7500 0.7500 0.7500
```

- Which of these has the highest volume?
  Y3HIr

- Look up the DOS(E_F) of the first one.
  4.070 states/eV/cell